## P
VASP calculation (PBE) on a geometry-optimized Sm2Ho6Er structure.

Cell lengths 6.5378, 9.5450, 9.5450 Å; angles 96.21, 80.56, 80.56 degrees
With the nearest neighbours (Å) after each atom.
Fractional positions:
Sm1 0.1280 0.6185 0.6677  3 Sm 3.34-3.60, 7 Ho 3.37-3.64
Sm2 0.3720 0.3323 0.3815  3 Sm 3.34-3.60, 7 Ho 3.37-3.64
Sm3 0.8720 0.3815 0.3323  3 Sm 3.34-3.60, 7 Ho 3.37-3.64
Sm4 0.6280 0.6677 0.6185  3 Sm 3.34-3.60, 7 Ho 3.37-3.64
Ho1 0.5043 0.6509 0.2764  5 Ho 3.23-3.55, 1 Er 3.29, 3 Sm 3.37-3.50
Ho2 0.9957 0.7236 0.3491  5 Ho 3.23-3.55, 1 Er 3.29, 3 Sm 3.37-3.50
Ho3 0.4957 0.3491 0.7236  5 Ho 3.23-3.55, 1 Er 3.29, 3 Sm 3.37-3.50
Ho4 0.0043 0.2764 0.6509  5 Ho 3.23-3.55, 1 Er 3.29, 3 Sm 3.37-3.50
Ho5 0.7283 0.0596 0.4614  6 Ho 3.36-3.51, 2 Sm 3.44-3.64, 1 Er 3.49
Ho6 0.7717 0.5386 0.9404  6 Ho 3.36-3.51, 2 Sm 3.44-3.64, 1 Er 3.49
Ho7 0.2717 0.9404 0.5386  6 Ho 3.36-3.51, 2 Sm 3.44-3.64, 1 Er 3.49
Ho8 0.2283 0.4614 0.0596  6 Ho 3.36-3.51, 2 Sm 3.44-3.64, 1 Er 3.49
Ho9 0.3148 0.7778 0.9576  3 Ho 3.27-3.42, 1 Er 3.38, 2 Sm 3.49-3.50
Ho10 0.1852 0.0424 0.2222  3 Ho 3.27-3.42, 1 Er 3.38, 2 Sm 3.49-3.50
Ho11 0.6852 0.2222 0.0424  3 Ho 3.27-3.42, 1 Er 3.38, 2 Sm 3.49-3.50
Ho12 0.8148 0.9576 0.7778  3 Ho 3.27-3.42, 1 Er 3.38, 2 Sm 3.49-3.50
Er1 0.2500 0.1180 0.8820  8 Ho 3.29-3.67
Er2 0.7500 0.8820 0.1180  8 Ho 3.29-3.67

Properties
- symmetry = C2/c, No. 15
- size of the total moment (μB/f.u.) = 0.00
- D(E_F) (states/eV/atom) = 1.2584

## Q
VASP calculation (PBE) on a geometry-optimized Sm2Ho6Er structure.

Cell lengths 5.0208, 10.6209, 10.6210 Å; angles 90.00, 90.00, 90.00 degrees
With the nearest neighbours (Å) after each atom.
Fractional positions:
Sm1 0.0000 0.3338 0.8336  10 Ho 3.54-3.55, 2 Er 3.54
Sm2 0.5000 0.8338 0.6664  10 Ho 3.54-3.55, 2 Er 3.54
Sm3 0.5000 0.1662 0.3336  10 Ho 3.54-3.55, 2 Er 3.54
Sm4 0.0000 0.6662 0.1664  10 Ho 3.54-3.55, 2 Er 3.54
Ho1 0.0000 0.0004 0.1663  8 Ho 3.53-3.55, 3 Sm 3.54-3.55, 1 Er 3.54
Ho2 0.0000 0.6663 0.5006  8 Ho 3.53-3.55, 1 Er 3.54, 3 Sm 3.54-3.55
Ho3 0.0000 0.6669 0.8333  6 Ho 3.53-3.55, 4 Sm 3.54-3.55, 2 Er 3.55
Ho4 0.5000 0.1669 0.6667  6 Ho 3.53-3.55, 4 Sm 3.54-3.55, 2 Er 3.55
Ho5 0.5000 0.1663 0.9994  8 Ho 3.53-3.55, 1 Er 3.54, 3 Sm 3.54-3.55
Ho6 0.5000 0.5004 0.3337  8 Ho 3.53-3.55, 3 Sm 3.54-3.55, 1 Er 3.54
Ho7 0.0000 0.9996 0.8337  8 Ho 3.53-3.55, 3 Sm 3.54-3.55, 1 Er 3.54
Ho8 0.0000 0.3337 0.4994  8 Ho 3.53-3.55, 1 Er 3.54, 3 Sm 3.54-3.55
Ho9 0.0000 0.3331 0.1667  6 Ho 3.53-3.55, 4 Sm 3.54-3.55, 2 Er 3.55
Ho10 0.5000 0.8331 0.3333  6 Ho 3.53-3.55, 4 Sm 3.54-3.55, 2 Er 3.55
Ho11 0.5000 0.8337 0.0006  8 Ho 3.53-3.55, 1 Er 3.54, 3 Sm 3.54-3.55
Ho12 0.5000 0.4996 0.6663  8 Ho 3.53-3.55, 3 Sm 3.54-3.55, 1 Er 3.54
Er1 0.5000 0.5000 0.0000  4 Sm 3.54, 8 Ho 3.54-3.55
Er2 0.0000 0.0000 0.5000  4 Sm 3.54, 8 Ho 3.54-3.55

Properties
- symmetry = P4_2/mnm, No. 136
- size of the total moment (μB/f.u.) = 0.00
- D(E_F) (states/eV/atom) = 1.2494

Q wins, 0.092 eV/atom ahead of the next structure.

## P
VASP calculation (PBE) on a geometry-optimized SmHo4Er3 structure.

Cell lengths 6.2448, 7.2280, 11.1799 Å; angles 90.00, 90.00, 90.00 degrees
With the nearest neighbours (Å) after each atom.
Fractional positions:
Sm1 0.1477 0.3746 0.0000  6 Er 3.49-3.61, 6 Ho 3.50-3.62
Sm2 0.6477 0.6254 0.5000  6 Er 3.49-3.61, 6 Ho 3.50-3.62
Ho1 0.1470 0.8751 0.0000  6 Ho 3.47-3.62, 4 Er 3.48-3.61, 2 Sm 3.61-3.62
Ho2 0.6488 0.1247 0.0000  6 Ho 3.47-3.62, 4 Er 3.49-3.62, 2 Sm 3.60-3.61
Ho3 0.9811 0.1245 0.2515  6 Ho 3.47-3.60, 5 Er 3.47-3.62, 1 Sm 3.50
Ho4 0.4811 0.8755 0.2485  6 Ho 3.47-3.60, 5 Er 3.47-3.62, 1 Sm 3.50
Ho5 0.1488 0.8753 0.5000  6 Ho 3.47-3.62, 4 Er 3.49-3.62, 2 Sm 3.60-3.61
Ho6 0.6470 0.1249 0.5000  6 Ho 3.47-3.62, 4 Er 3.48-3.61, 2 Sm 3.61-3.62
Ho7 0.4811 0.8755 0.7515  6 Ho 3.47-3.60, 5 Er 3.47-3.62, 1 Sm 3.50
Ho8 0.9811 0.1245 0.7485  6 Ho 3.47-3.60, 5 Er 3.47-3.62, 1 Sm 3.50
Er1 0.6475 0.6252 0.0000  6 Ho 3.47-3.62, 4 Er 3.49, 2 Sm 3.61
Er2 0.9810 0.6255 0.2500  6 Ho 3.48-3.62, 2 Sm 3.49, 4 Er 3.49-3.61
Er3 0.4810 0.3745 0.2500  6 Ho 3.48-3.62, 2 Sm 3.49, 4 Er 3.49-3.61
Er4 0.1475 0.3748 0.5000  6 Ho 3.47-3.62, 4 Er 3.49, 2 Sm 3.61
Er5 0.4810 0.3745 0.7500  6 Ho 3.48-3.62, 2 Sm 3.49, 4 Er 3.49-3.61
Er6 0.9810 0.6255 0.7500  6 Ho 3.48-3.62, 2 Sm 3.49, 4 Er 3.49-3.61

Properties
- symmetry = Pmn2_1, No. 31
- size of the total moment (μB/f.u.) = 0.00
- D(E_F) (states/eV/atom) = 1.5928

## Q
VASP calculation (PBE) on a geometry-optimized SmHo4Er3 structure.

Cell lengths 3.5325, 10.5806, 7.8860 Å; angles 81.39, 63.34, 70.50 degrees
With the nearest neighbours (Å) after each atom.
Fractional positions:
Ho1 0.0000 0.7517 0.7486  4 Ho 3.51-3.54, 6 Er 3.51-3.54, 2 Sm 3.54
Ho2 0.4970 0.7517 0.2513  4 Ho 3.51-3.54, 6 Er 3.51-3.54, 2 Sm 3.54
Ho3 0.9999 0.2485 0.2512  4 Ho 3.51-3.54, 6 Er 3.51-3.53, 2 Sm 3.54
Ho4 0.5029 0.2485 0.7487  4 Ho 3.51-3.54, 6 Er 3.51-3.54, 2 Sm 3.54
Sm1 0.5000 0.5002 0.9999  2 Er 3.52, 2 Sm 3.53, 8 Ho 3.54
Er1 0.4999 0.0002 0.5000  8 Ho 3.51, 4 Er 3.52-3.53
Er2 0.9999 0.0001 0.0000  8 Ho 3.52, 4 Er 3.52-3.53
Er3 0.0000 0.5001 0.5000  2 Sm 3.52, 8 Ho 3.53-3.54, 2 Er 3.53

Properties
- symmetry = Pmmm, No. 47
- size of the total moment (μB/f.u.) = 0.00
- D(E_F) (states/eV/atom) = 1.4292

P wins, 0.018 eV/atom ahead of the next structure.

## P
VASP calculation (PBE) on a geometry-optimized Sm7HoEr2 structure.

Cell lengths 5.5437, 9.3902, 9.3902 Å; angles 124.33, 90.00, 90.00 degrees
With the nearest neighbours (Å) after each atom.
Fractional positions:
Sm1 0.0000 0.7893 0.2107  2 Er 3.11
Sm2 0.0000 0.2107 0.7893  2 Er 3.11
Sm3 0.5000 0.0662 0.2904  2 Sm 3.13-3.38, 2 Er 3.21-3.42
Sm4 0.5000 0.9338 0.7096  2 Sm 3.13-3.38, 2 Er 3.21-3.42
Sm5 0.5000 0.2904 0.0662  2 Sm 3.13-3.38, 2 Er 3.21-3.42
Sm6 0.5000 0.7096 0.9338  2 Sm 3.13-3.38, 2 Er 3.21-3.42
Sm7 0.5000 0.5000 0.5000  4 Sm 3.38, 2 Er 3.40
Ho1 0.0000 0.0000 0.0000  10 Sm 3.50-3.69
Er1 0.5000 0.7048 0.2952  7 Sm 3.11-3.42
Er2 0.5000 0.2952 0.7048  7 Sm 3.11-3.42

Properties
- symmetry = Cmmm, No. 65
- size of the total moment (μB/f.u.) = 0.00
- D(E_F) (states/eV/atom) = 1.4475

## Q
VASP calculation (PBE) on a geometry-optimized Sm7HoEr2 structure.

Cell lengths 5.5138, 8.9650, 9.5965 Å; angles 118.04, 73.26, 127.98 degrees
With the nearest neighbours (Å) after each atom.
Fractional positions:
Sm1 0.9997 0.8012 0.6026  4 Er 3.25-3.53, 1 Ho 3.37, 4 Sm 3.61
Sm2 0.0003 0.1988 0.3974  4 Er 3.25-3.53, 1 Ho 3.37, 4 Sm 3.61
Sm3 0.2505 0.6418 0.7826  8 Sm 3.53-3.76, 3 Er 3.62-3.70, 2 Ho 3.75
Sm4 0.7495 0.3582 0.2174  8 Sm 3.53-3.76, 3 Er 3.62-3.70, 2 Ho 3.75
Sm5 0.2499 0.8589 0.2176  8 Sm 3.53-3.75, 3 Er 3.62-3.69, 2 Ho 3.76
Sm6 0.7501 0.1411 0.7824  8 Sm 3.53-3.75, 3 Er 3.62-3.69, 2 Ho 3.76
Sm7 0.5000 0.5000 0.0000  2 Er 3.38, 2 Ho 3.53, 8 Sm 3.75-3.76
Ho1 0.0000 0.0000 0.0000  12 Sm 3.37-3.76
Er1 0.5000 0.6997 0.3992  9 Sm 3.25-3.62
Er2 0.5000 0.3003 0.6008  9 Sm 3.25-3.62

Properties
- symmetry = C2/m, No. 12
- size of the total moment (μB/f.u.) = 0.00
- D(E_F) (states/eV/atom) = 1.6799

Q wins, 0.610 eV/atom ahead of the next structure.

## P
VASP calculation (PBE) on a geometry-optimized Sm5Ho2Er4 structure.

Cell lengths 6.8757, 6.8759, 9.6745 Å; angles 69.18, 69.18, 60.87 degrees
With the nearest neighbours (Å) after each atom.
Fractional positions:
Sm1 0.6296 0.1596 0.8207  2 Sm 3.27-3.38, 3 Er 3.42-3.48, 3 Ho 3.45-3.60
Sm2 0.3704 0.8404 0.1793  2 Sm 3.27-3.38, 3 Er 3.42-3.48, 3 Ho 3.45-3.60
Sm3 0.0000 0.0000 0.5000  4 Sm 3.38
Sm4 0.1596 0.6296 0.8207  2 Sm 3.27-3.38, 3 Er 3.42-3.48, 3 Ho 3.45-3.60
Sm5 0.8404 0.3704 0.1793  2 Sm 3.27-3.38, 3 Er 3.42-3.48, 3 Ho 3.45-3.60
Ho1 0.1303 0.1303 0.8489  1 Ho 3.26, 3 Er 3.31-3.49, 6 Sm 3.45-3.60
Ho2 0.8697 0.8697 0.1511  1 Ho 3.26, 3 Er 3.31-3.49, 6 Sm 3.45-3.60
Er1 0.3501 0.3501 0.4993  1 Ho 3.31, 2 Er 3.34-3.56, 2 Sm 3.70
Er2 0.6499 0.6499 0.5007  1 Ho 3.31, 2 Er 3.34-3.56, 2 Sm 3.70
Er3 0.6438 0.6438 0.8486  2 Er 3.34-3.46, 6 Sm 3.42-3.48, 2 Ho 3.49
Er4 0.3562 0.3562 0.1514  2 Er 3.34-3.46, 6 Sm 3.42-3.48, 2 Ho 3.49

Properties
- symmetry = C2/m, No. 12
- size of the total moment (μB/f.u.) = 0.00
- D(E_F) (states/eV/atom) = 1.4880

## Q
VASP calculation (PBE) on a geometry-optimized Sm5Ho2Er4 structure.

Cell lengths 3.5027, 9.0391, 12.6475 Å; angles 110.94, 97.96, 90.00 degrees
With the nearest neighbours (Å) after each atom.
Fractional positions:
Sm1 0.8545 0.0547 0.7089  3 Ho 3.41-3.79, 3 Er 3.42-3.55, 3 Sm 3.50-3.62
Sm2 0.8545 0.6543 0.7089  3 Ho 3.41-3.79, 3 Er 3.42-3.55, 3 Sm 3.50-3.62
Sm3 0.1455 0.3457 0.2911  3 Ho 3.41-3.79, 3 Er 3.42-3.55, 3 Sm 3.50-3.62
Sm4 0.1455 0.9453 0.2911  3 Ho 3.41-3.79, 3 Er 3.42-3.55, 3 Sm 3.50-3.62
Sm5 0.5000 0.0000 0.0000  4 Er 3.33, 2 Sm 3.50
Ho1 0.2693 0.2693 0.5386  1 Er 3.13, 2 Sm 3.41, 2 Ho 3.50
Ho2 0.7307 0.7307 0.4614  1 Er 3.13, 2 Sm 3.41, 2 Ho 3.50
Er1 0.0000 0.3130 0.0000  7 Er 3.32-3.50, 4 Sm 3.33-3.55
Er2 0.5967 0.5967 0.1934  1 Ho 3.13, 6 Er 3.32-3.50, 4 Sm 3.42
Er3 0.0000 0.6870 0.0000  7 Er 3.32-3.50, 4 Sm 3.33-3.55
Er4 0.4033 0.4033 0.8066  1 Ho 3.13, 6 Er 3.32-3.50, 4 Sm 3.42

Properties
- symmetry = Immm, No. 71
- size of the total moment (μB/f.u.) = 0.00
- D(E_F) (states/eV/atom) = 1.5727

P wins, 0.025 eV/atom ahead of the next structure.